Run a
Compound: NpSnBi2
Source: the Alexandria database
Functional: GGA-PBE
Structure: optimized geometry

Values from the calculation:
Total magnetic moment: 4.07 μB/cell
SG: R3m
Density of states at the Fermi level: 2.9486 states/eV per atom

Cell: 4.941 4.941 7.007 Å, 69.36 69.36 60.00°
Last column: magnetic moment on the atom in μB.
Element x y z (fractional)
Np 0.668 0.668 0.996  4.01
Sn 0.492 0.492 0.523  -0.02
Bi 0.080 0.080 0.760  -0.01
Bi 0.260 0.260 0.221  -0.07

---

Run b
Compound: NpSnBi2
Source: the Alexandria database
Functional: GGA-PBE
Structure: optimized geometry

Values from the calculation:
Total magnetic moment: 4.06 μB/cell
SG: P4/mmm
Density of states at the Fermi level: 3.1911 states/eV per atom

Cell: 4.714 4.894 4.894 Å, 90.00 90.00 90.00°
Last column: magnetic moment on the atom in μB.
Element x y z (fractional)
Np 0.500 0.500 0.500  -4.00
Bi 0.000 0.000 0.500  0.05
Bi 0.000 0.500 0.000  0.05
Sn 0.500 0.000 0.000  0.02

---

Result of the stability comparison: run b is the most stable of them.

---

Run a
Compound: Np2SnBi
Source: the Alexandria database
Functional: GGA-PBE
Structure: optimized geometry

Values from the calculation:
Total magnetic moment: 9.44 μB/cell
SG: P4/mmm
Density of states at the Fermi level: 3.3963 states/eV per atom

Cell: 3.418 3.418 9.146 Å, 90.00 90.00 90.00°
Last column: magnetic moment on the atom in μB.
Element x y z (fractional)
Np 0.000 0.000 0.757  4.30
Np 0.000 0.000 0.243  4.30
Bi 0.500 0.500 0.500  -0.06
Sn 0.500 0.500 0.000  -0.07

---

Run b
Compound: Np2SnBi
Source: the Alexandria database
Functional: GGA-PBE
Structure: optimized geometry

Values from the calculation:
Total magnetic moment: 9.22 μB/cell
SG: Fm-3m
Density of states at the Fermi level: 3.4764 states/eV per atom

Cell: 5.355 5.355 5.354 Å, 59.99 59.99 60.00°
Last column: magnetic moment on the atom in μB.
Element x y z (fractional)
Np 0.250 0.250 0.250  4.15
Np 0.750 0.750 0.750  4.15
Bi 0.500 0.500 0.500  -0.04
Sn 0.000 0.000 0.000  -0.03

---

Run c
Compound: Np2SnBi
Source: the Alexandria database
Functional: GGA-PBE
Structure: optimized geometry

Values from the calculation:
Total magnetic moment: 9.50 μB/cell
SG: P4/mmm
Density of states at the Fermi level: 3.3664 states/eV per atom

Cell: 4.546 4.849 4.849 Å, 90.00 90.00 90.00°
Last column: magnetic moment on the atom in μB.
Element x y z (fractional)
Np 0.000 0.000 0.500  4.32
Np 0.000 0.500 0.000  4.32
Bi 0.500 0.000 0.000  -0.07
Sn 0.500 0.500 0.500  -0.05

---

Result of the stability comparison: run a is the most stable of them.

---

Run a
Compound: NpSn2Bi
Source: the Alexandria database
Functional: GGA-PBE
Structure: optimized geometry

Values from the calculation:
Total magnetic moment: 4.04 μB/cell
SG: P4/mmm
Density of states at the Fermi level: 3.1808 states/eV per atom

Cell: 4.881 4.674 4.674 Å, 90.00 90.00 90.00°
Last column: magnetic moment on the atom in μB.
Element x y z (fractional)
Np 0.500 0.500 0.500  3.94
Bi 0.500 0.000 0.000  -0.06
Sn 0.000 0.000 0.500  -0.02
Sn 0.000 0.500 0.000  -0.02

---

Run b
Compound: NpSn2Bi
Source: the Alexandria database
Functional: GGA-PBE
Structure: optimized geometry

Values from the calculation:
Total magnetic moment: 4.23 μB/cell
SG: P4/mmm
Density of states at the Fermi level: 2.3008 states/eV per atom

Cell: 4.123 4.123 6.442 Å, 90.00 90.00 90.00°
Last column: magnetic moment on the atom in μB.
Element x y z (fractional)
Np 0.500 0.500 0.500  3.94
Bi 0.500 0.500 0.000  -0.04
Sn 0.000 0.000 0.744  -0.01
Sn 0.000 0.000 0.256  -0.01

---

Run c
Compound: NpSn2Bi
Source: the Alexandria database
Functional: GGA-PBE
Structure: optimized geometry

Values from the calculation:
Total magnetic moment: 4.25 μB/cell
SG: R-3m
Density of states at the Fermi level: 1.7148 states/eV per atom

Cell: 3.324 3.324 11.897 Å, 81.97 81.97 60.00°
Last column: magnetic moment on the atom in μB.
Element x y z (fractional)
Np 0.500 0.500 0.500  3.94
Bi 0.000 0.000 0.000  0.00
Sn 0.090 0.090 0.730  -0.01
Sn 0.910 0.910 0.270  -0.01

---

Result of the stability comparison: run a is the most stable of them.

---

Run a
Compound: Np2TcBi
Source: the Alexandria database
Functional: GGA-PBE
Structure: optimized geometry

Values from the calculation:
Total magnetic moment: 6.70 μB/cell
SG: P4/mmm
Density of states at the Fermi level: 2.6341 states/eV per atom

Cell: 3.855 3.855 6.052 Å, 90.00 90.00 90.00°
Last column: magnetic moment on the atom in μB.
Element x y z (fractional)
Np 0.000 0.000 0.784  3.66
Np 0.000 0.000 0.216  3.66
Bi 0.500 0.500 0.500  -0.11
Tc 0.500 0.500 0.000  -0.89

---

Run b
Compound: Np2TcBi
Source: the Alexandria database
Functional: GGA-PBE
Structure: optimized geometry

Values from the calculation:
Total magnetic moment: 7.71 μB/cell
SG: R-3m
Density of states at the Fermi level: 2.3847 states/eV per atom

Cell: 3.277 3.277 10.256 Å, 80.81 80.81 60.00°
Last column: magnetic moment on the atom in μB.
Element x y z (fractional)
Np 0.737 0.737 0.790  3.81
Np 0.263 0.263 0.210  3.81
Bi 0.500 0.500 0.500  -0.05
Tc 0.000 0.000 0.000  -0.44

---

Result of the stability comparison: run a is the most stable of them.

---

Run a
Compound: NpBiTe2
Source: the Alexandria database
Functional: GGA-PBE
Structure: optimized geometry

Values from the calculation:
Total magnetic moment: 4.08 μB/cell
SG: P4/mmm
Density of states at the Fermi level: 2.1928 states/eV per atom

Cell: 3.801 3.801 7.933 Å, 90.00 90.00 90.00°
Last column: magnetic moment on the atom in μB.
Element x y z (fractional)
Np 0.500 0.500 0.500  3.88
Te 0.000 0.000 0.718  -0.08
Te 0.000 0.000 0.282  -0.08
Bi 0.500 0.500 0.000  0.04

---

Run b
Compound: NpBiTe2
Source: the Alexandria database
Functional: GGA-PBE
Structure: optimized geometry

Values from the calculation:
Total magnetic moment: 4.69 μB/cell
SG: R-3m
Density of states at the Fermi level: 1.3925 states/eV per atom

Cell: 3.396 3.396 12.131 Å, 81.95 81.95 60.00°
Last column: magnetic moment on the atom in μB.
Element x y z (fractional)
Np 0.000 0.000 0.000  4.23
Te 0.086 0.086 0.743  -0.01
Te 0.914 0.914 0.257  -0.01
Bi 0.500 0.500 0.500  -0.01

---

Result of the stability comparison: run a is the most stable of them.

---

Run a
Compound: ThNpBi2
Source: the Alexandria database
Functional: GGA-PBE
Structure: optimized geometry

Values from the calculation:
Total magnetic moment: 4.52 μB/cell
SG: P4/mmm
Density of states at the Fermi level: 3.0070 states/eV per atom

Cell: 3.849 3.849 8.005 Å, 90.00 90.00 90.00°
Last column: magnetic moment on the atom in μB.
Element x y z (fractional)
Np 0.500 0.500 0.500  4.17
Bi 0.000 0.000 0.745  -0.10
Bi 0.000 0.000 0.255  -0.10
Th 0.500 0.500 0.000  0.02

---

Run b
Compound: ThNpBi2
Source: the Alexandria database
Functional: GGA-PBE
Structure: optimized geometry

Values from the calculation:
Total magnetic moment: 4.99 μB/cell
SG: Fm-3m
Density of states at the Fermi level: 3.9948 states/eV per atom

Cell: 5.536 5.536 5.536 Å, 60.00 60.00 60.00°
Last column: magnetic moment on the atom in μB.
Element x y z (fractional)
Np 0.000 0.000 0.000  4.19
Bi 0.250 0.250 0.250  -0.11
Bi 0.750 0.750 0.750  -0.11
Th 0.500 0.500 0.500  0.27

---

Run c
Compound: ThNpBi2
Source: the Alexandria database
Functional: GGA-PBE
Structure: optimized geometry

Values from the calculation:
Total magnetic moment: 4.30 μB/cell
SG: R-3m
Density of states at the Fermi level: 2.0524 states/eV per atom

Cell: 3.417 3.417 12.344 Å, 82.04 82.04 60.00°
Last column: magnetic moment on the atom in μB.
Element x y z (fractional)
Np 0.500 0.500 0.500  4.05
Bi 0.091 0.091 0.726  -0.03
Bi 0.909 0.909 0.274  -0.03
Th 0.000 0.000 0.000  -0.03

---

Result of the stability comparison: run a is the most stable of them.